Sm2Dy2CBr3Cl2: relaxed, GGA-PBE.

Offset from the most stable computed form = 0 meV per atom
Total moment = 0.02 Bohr magnetons per cell
Calculated total energy = -5.201 eV/atom

Lattice parameters (Å, degrees): 9.0986 9.0986 8.2667 103.20 103.20 24.39
With the nearest neighbours (Å) after each atom.
Sites, in units of the cell vectors:
C 0.5000 0.5000 0.0000  2 Dy 2.40, 4 Sm 2.56
Cl 0.1631 0.1631 0.3142  2 Dy 2.72, 1 Sm 2.83
Dy 0.3612 0.3612 0.9252  1 C 2.40
Dy 0.6388 0.6388 0.0748  1 C 2.40
Cl 0.8369 0.8369 0.6858  2 Dy 2.72, 1 Sm 2.83
Br 0.8275 0.8275 0.1615  2 Dy 2.90, 1 Sm 3.01
Sm 0.9998 0.9998 0.7949  2 C 2.56, 1 Cl 2.83
Br 0.5000 0.5000 0.5000  4 Sm 3.11
Sm 0.0002 0.0002 0.2051  2 C 2.56, 1 Cl 2.83
Br 0.1725 0.1725 0.8385  2 Dy 2.90, 1 Sm 3.01